# 1
# CaTaW2

A relaxed CaTaW2 crystal (PBEsol, Alexandria).

Results
- Relative energy among the computed polymorphs: 194 meV per atom
- Space group: P4/mmm, No. 123
- Density of states at the Fermi level: 1.124 states/eV/atom
- Calculated formation energy: 0.971 eV per atom

Cell: 2.8771 5.0095 5.0095 Å, 90.00 90.00 90.00°
Closest atoms and distances in Å follow each position.
Sites, in units of the cell vectors:
Ca 0.5000 0.5000 0.5000  2 Ca 2.88, 8 W 2.89
Ta 0.5000 0.0000 0.0000  2 Ta 2.88, 8 W 2.89
W 0.0000 0.0000 0.5000  2 W 2.88, 4 Ta 2.89, 4 Ca 2.89
W 0.0000 0.5000 0.0000  2 W 2.88, 4 Ta 2.89, 4 Ca 2.89


# 2
# CaTaW2

A relaxed CaTaW2 crystal (PBEsol, Alexandria).

Results
- Relative energy among the computed polymorphs: 0 meV per atom
- Space group: Cm, No. 8
- Density of states at the Fermi level: 0.934 states/eV/atom
- Calculated formation energy: 0.777 eV per atom

Cell: 2.6772 4.9624 5.6843 Å, 90.53 90.00 105.65°
Closest atoms and distances in Å follow each position.
Sites, in units of the cell vectors:
Ca 0.4991 0.9982 0.4997  2 Ca 2.68, 1 Ta 2.83, 1 W 2.85
Ta 0.7477 0.4954 0.2344  2 Ta 2.68, 3 W 2.81-2.95, 1 Ca 2.83
W 0.0038 0.0076 0.9945  3 W 2.68, 1 Ta 2.81
W 0.2494 0.4988 0.7714  3 W 2.68, 1 Ca 2.85, 2 Ta 2.95


# 3
# CaTa2W

A relaxed CaTa2W crystal (PBEsol, Alexandria).

Results
- Relative energy among the computed polymorphs: 43 meV per atom
- Space group: R3m, No. 160
- Density of states at the Fermi level: 1.112 states/eV/atom
- Calculated formation energy: 0.704 eV per atom

Cell: 2.8886 2.8886 10.6384 Å, 82.20 82.20 60.00°
Closest atoms and distances in Å follow each position.
Sites, in units of the cell vectors:
Ca 0.2478 0.2478 0.2567  6 Ca 2.89, 3 W 3.17
W 0.4957 0.4957 0.5129  6 W 2.89, 3 Ta 2.95, 3 Ca 3.17
Ta 0.0048 0.0048 0.9855  9 Ta 2.89-3.03
Ta 0.7517 0.7517 0.7448  9 Ta 2.89-3.03, 3 W 2.95


# 4
# CaTa2W

A relaxed CaTa2W crystal (PBEsol, Alexandria).

Results
- Relative energy among the computed polymorphs: 0 meV per atom
- Space group: C2/m, No. 12
- Density of states at the Fermi level: 0.700 states/eV/atom
- Calculated formation energy: 0.661 eV per atom

Cell: 2.7239 4.9369 5.9483 Å, 90.85 90.00 106.01°
Closest atoms and distances in Å follow each position.
Sites, in units of the cell vectors:
Ca 0.5000 0.0000 0.0000  2 Ca 2.72, 2 Ta 2.90
W 0.0000 0.0000 0.5000  2 W 2.72, 6 Ta 2.75-2.98
Ta 0.7457 0.4914 0.7169  4 Ta 2.72-2.92, 3 W 2.75-2.98, 1 Ca 2.90
Ta 0.2543 0.5086 0.2831  4 Ta 2.72-2.92, 3 W 2.75-2.98, 1 Ca 2.90


# 5
# CaTaW

A relaxed CaTaW crystal (PBEsol, Alexandria).

Results
- Relative energy among the computed polymorphs: 0 meV per atom
- Space group: Imm2, No. 44
- Density of states at the Fermi level: 0.829 states/eV/atom
- Calculated formation energy: 0.814 eV per atom

Cell: 2.7257 4.4238 5.7091 Å, 112.79 103.81 90.00°
Closest atoms and distances in Å follow each position.
Sites, in units of the cell vectors:
Ca 0.9974 0.9974 0.9948  2 Ca 2.73
W 0.3094 0.3094 0.6188  2 W 2.73, 4 Ta 2.85
Ta 0.6932 0.6932 0.3864  2 Ta 2.73, 4 W 2.85


# 6
# CaTaW

A relaxed CaTaW crystal (PBEsol, Alexandria).

Results
- Relative energy among the computed polymorphs: 34 meV per atom
- Space group: P3m1, No. 156
- Density of states at the Fermi level: 1.102 states/eV/atom
- Calculated formation energy: 0.848 eV per atom

Cell: 2.8946 2.8946 7.9593 Å, 90.00 90.00 120.00°
Closest atoms and distances in Å follow each position.
Sites, in units of the cell vectors:
Ca 0.0000 0.0000 0.0081  6 Ca 2.89, 3 W 3.14
W 0.6667 0.3333 0.3428  6 W 2.89, 3 Ta 2.96, 3 Ca 3.14
Ta 0.3333 0.6667 0.6491  6 Ta 2.89, 3 W 2.96


# 7
# Ca2YTa

A relaxed Ca2YTa crystal (PBEsol, Alexandria).

Results
- Relative energy among the computed polymorphs: 0 meV per atom
- Space group: C2/m, No. 12
- Density of states at the Fermi level: 1.369 states/eV/atom
- Calculated formation energy: 0.602 eV per atom

Cell: 3.2623 5.7912 6.0567 Å, 99.33 105.62 90.00°
Closest atoms and distances in Å follow each position.
Sites, in units of the cell vectors:
Y 0.0000 0.5000 0.0000  2 Y 3.26, 4 Ta 3.32, 6 Ca 3.39-3.59
Ca 0.2368 0.2319 0.4735  6 Ca 3.20-3.47, 3 Ta 3.29-3.55, 1 Y 3.39
Ca 0.7632 0.7681 0.5265  6 Ca 3.20-3.47, 3 Ta 3.29-3.55, 1 Y 3.39
Ta 0.5000 0.0000 0.0000  2 Ta 3.26, 6 Ca 3.29-3.55, 4 Y 3.32


# 8
# Ca2YTa

A relaxed Ca2YTa crystal (PBEsol, Alexandria).

Results
- Relative energy among the computed polymorphs: 70 meV per atom
- Space group: I-4m2, No. 119
- Density of states at the Fermi level: 1.624 states/eV/atom
- Calculated formation energy: 0.673 eV per atom

Cell: 4.9332 5.6934 4.9332 Å, 115.67 90.00 115.67°
Closest atoms and distances in Å follow each position.
Sites, in units of the cell vectors:
Y 0.2500 0.5000 0.7500  8 Ca 3.34-3.49, 4 Ta 3.34
Ca 0.0000 0.0000 0.0000  4 Ca 3.34, 4 Y 3.34, 4 Ta 3.49
Ca 0.7500 0.5000 0.2500  4 Ta 3.34, 4 Ca 3.34, 4 Y 3.49
Ta 0.5000 0.0000 0.5000  4 Y 3.34, 8 Ca 3.34-3.49